# 1
Below is a geometry-optimized Pr4Se4I3 structure, with properties calculated at the PBE-GGA level.

a = 9.8701 Å, b = 9.8701 Å, c = 9.8701 Å
α = 153.96°, β = 127.19°, γ = 59.80°
Last column: nearest neighbours and their distance in Å.
Fractional positions:
1 Pr 0.2314 0.2314 0.0000  6 Se 3.04-3.13
2 Pr 0.2819 0.5000 0.7819  2 Se 2.97
3 Pr 0.7181 0.5000 0.2181  2 Se 2.97
4 Pr 0.7686 0.7686 0.0000  6 Se 3.04-3.13
5 Se 0.0327 0.3316 0.7011  4 Pr 2.97-3.13
6 Se 0.3695 0.6684 0.7011  4 Pr 2.97-3.13
7 Se 0.6305 0.3316 0.2989  4 Pr 2.97-3.13
8 Se 0.9673 0.6684 0.2989  4 Pr 2.97-3.13
9 I 0.0000 0.0000 0.0000  4 Pr 3.33
10 I 0.4006 0.9006 0.5000  6 Pr 3.39-3.65, 1 I 3.40, 4 Se 3.64
11 I 0.5994 0.0994 0.5000  6 Pr 3.39-3.65, 1 I 3.40, 4 Se 3.64

Output
E, eV/f.u.: -54.7
Theoretical density, g/cm³: 6.26
V, Å³/atom: 30.369
Fermi-level density of states, states/eV per cell: 1.300
Raw formation energy, eV per atom: -1.5456

# 2
Below is a geometry-optimized CaTc4As2 structure, with properties calculated at the PBE-GGA level.

a = 7.5533 Å, b = 7.5533 Å, c = 4.0724 Å
α = 90.00°, β = 90.00°, γ = 148.09°
Last column: nearest neighbours and their distance in Å.
Fractional positions:
1 Ca 0.0000 0.0000 0.0000  8 As 3.19, 8 Tc 3.44-3.56
2 Tc 0.1911 0.8089 0.5000  2 As 2.54, 4 Tc 2.59-2.69
3 Tc 0.3009 0.6991 0.0000  4 Tc 2.55-2.59, 2 As 2.58
4 Tc 0.6991 0.3009 0.0000  4 Tc 2.55-2.59, 2 As 2.58
5 Tc 0.8089 0.1911 0.5000  2 As 2.54, 4 Tc 2.59-2.69
6 As 0.4099 0.5901 0.5000  4 Tc 2.54-2.58, 1 As 2.62
7 As 0.5901 0.4099 0.5000  4 Tc 2.54-2.58, 1 As 2.62

Output
E, eV/f.u.: -55.7
DFT formation energy, meV per atom: -422
Theoretical density, g/cm³: 7.87
V, Å³/atom: 17.547
Fermi-level density of states, states/eV per cell: 3.696

# 3
Below is a geometry-optimized DyTm3Hg2 structure, with properties calculated at the PBE-GGA level.

a = 3.6445 Å, b = 3.6445 Å, c = 12.2253 Å
α = 90.00°, β = 90.00°, γ = 90.00°
Last column: nearest neighbours and their distance in Å.
Fractional positions:
1 Dy 0.0000 0.0000 0.0000  8 Tm 3.53, 4 Dy 3.64
2 Tm 0.5000 0.5000 0.1973  4 Hg 3.17, 4 Dy 3.53
3 Tm 0.5000 0.5000 0.5000  8 Hg 3.18
4 Tm 0.5000 0.5000 0.8027  4 Hg 3.17, 4 Dy 3.53
5 Hg 0.0000 0.0000 0.3478  8 Tm 3.17-3.18
6 Hg 0.0000 0.0000 0.6522  8 Tm 3.17-3.18

Output
E, eV/f.u.: -20.4
DFT formation energy, meV per atom: -303
Theoretical density, g/cm³: 10.95
Energy above the lowest structure with this stoichiometry, meV/atom: 62
V, Å³/atom: 27.064
Fermi-level density of states, states/eV per cell: 6.205

# 4
Below is a geometry-optimized Dy3PdAu structure, with properties calculated at the PBE-GGA level.

a = 7.7424 Å, b = 3.7898 Å, c = 9.4840 Å
α = 90.00°, β = 110.83°, γ = 90.00°
Last column: nearest neighbours and their distance in Å.
Fractional positions:
1 Dy 0.0000 0.0000 0.0000  2 Pd 2.85, 2 Au 3.06
2 Dy 0.0500 0.0000 0.3772  2 Pd 2.85, 3 Au 3.03-3.14
3 Dy 0.4041 0.5000 0.9577  2 Pd 2.87-3.05, 2 Au 2.95
4 Dy 0.5060 0.0000 0.6501  2 Pd 2.82, 1 Au 2.94
5 Dy 0.5665 0.0000 0.2944  2 Au 2.99, 2 Pd 3.01
6 Dy 0.8695 0.5000 0.6156  2 Au 2.91, 1 Pd 2.97
7 Pd 0.7159 0.5000 0.8615  6 Dy 2.82-2.97, 1 Pd 2.93
8 Pd 0.7971 0.5000 0.1879  5 Dy 2.85-3.05, 1 Pd 2.93
9 Au 0.1730 0.0000 0.7305  6 Dy 2.91-3.14
10 Au 0.2505 0.5000 0.2381  7 Dy 2.99-3.28

Output
E, eV/f.u.: -25.4
DFT formation energy, meV per atom: -617
Theoretical density, g/cm³: 10.10
V, Å³/atom: 26.010
Fermi-level density of states, states/eV per cell: 8.904

# 5
Below is a geometry-optimized TbEu2 structure, with properties calculated at the PBE-GGA level.

a = 6.8788 Å, b = 6.8788 Å, c = 6.8788 Å
α = 60.00°, β = 60.00°, γ = 60.00°
Last column: nearest neighbours and their distance in Å.
Fractional positions:
1 Tb 0.1250 0.1250 0.1250  12 Eu 4.03, 4 Tb 4.21
2 Tb 0.8750 0.8750 0.8750  12 Eu 4.03, 4 Tb 4.21
3 Eu 0.0000 0.5000 0.5000  6 Eu 3.44
4 Eu 0.5000 0.0000 0.5000  6 Eu 3.44
5 Eu 0.5000 0.5000 0.0000  6 Eu 3.44
6 Eu 0.5000 0.5000 0.5000  6 Eu 3.44

Output
E, eV/f.u.: -24.3
DFT formation energy, meV per atom: 304
Theoretical density, g/cm³: 6.68
Energy above the lowest structure with this stoichiometry, meV/atom: 221
V, Å³/atom: 38.359
Fermi-level density of states, states/eV per cell: 9.405

# 6
Below is a geometry-optimized Er5Nb3N12 structure, with properties calculated at the PBE-GGA level.

a = 11.2181 Å, b = 11.2181 Å, c = 11.2181 Å
α = 109.47°, β = 109.47°, γ = 109.47°
Last column: nearest neighbours and their distance in Å.
Fractional positions:
1 Er 0.0000 0.0000 0.0000  6 N 2.37
2 Er 0.0000 0.0000 0.5000  6 N 2.37
3 Er 0.0000 0.5000 0.0000  6 N 2.37
4 Er 0.0000 0.5000 0.5000  6 N 2.37
5 Er 0.1250 0.7500 0.8750  4 N 2.17
6 Er 0.1250 0.8750 0.2500  4 N 2.17
7 Er 0.2500 0.1250 0.8750  4 N 2.17
8 Er 0.2500 0.6250 0.3750  4 N 2.17
9 Er 0.3750 0.2500 0.6250  4 N 2.17
10 Er 0.3750 0.6250 0.7500  4 N 2.17
11 Er 0.5000 0.0000 0.0000  6 N 2.37
12 Er 0.5000 0.0000 0.5000  6 N 2.37
13 Er 0.5000 0.5000 0.0000  6 N 2.37
14 Er 0.5000 0.5000 0.5000  6 N 2.37
15 Er 0.6250 0.3750 0.2500  4 N 2.17
16 Er 0.6250 0.7500 0.3750  4 N 2.17
17 Er 0.7500 0.3750 0.6250  4 N 2.17
18 Er 0.7500 0.8750 0.1250  4 N 2.17
19 Er 0.8750 0.1250 0.7500  4 N 2.17
20 Er 0.8750 0.2500 0.1250  4 N 2.17
21 Nb 0.1250 0.2500 0.3750  4 N 2.11
22 Nb 0.1250 0.3750 0.7500  4 N 2.11
23 Nb 0.2500 0.3750 0.1250  4 N 2.11
24 Nb 0.2500 0.8750 0.6250  4 N 2.11
25 Nb 0.3750 0.1250 0.2500  4 N 2.11
26 Nb 0.3750 0.7500 0.1250  4 N 2.11
27 Nb 0.6250 0.2500 0.8750  4 N 2.11
28 Nb 0.6250 0.8750 0.7500  4 N 2.11
29 Nb 0.7500 0.1250 0.3750  4 N 2.11
30 Nb 0.7500 0.6250 0.8750  4 N 2.11
31 Nb 0.8750 0.6250 0.2500  4 N 2.11
32 Nb 0.8750 0.7500 0.6250  4 N 2.11
33 N 0.0665 0.6386 0.3895  1 Nb 2.11, 1 Er 2.17, 1 N 2.22
34 N 0.0665 0.9279 0.6770  1 Nb 2.11, 1 Er 2.17, 1 N 2.22
35 N 0.0721 0.2491 0.1386  1 Nb 2.11, 1 Er 2.17, 1 N 2.22
36 N 0.0721 0.3230 0.9335  1 Nb 2.11, 1 Er 2.17, 1 N 2.22
37 N 0.1105 0.7491 0.6770  1 Nb 2.11, 1 Er 2.17, 1 N 2.22
38 N 0.1105 0.8614 0.4335  1 Nb 2.11, 1 Er 2.17, 1 N 2.22
39 N 0.1386 0.0721 0.2491  1 Nb 2.11, 1 Er 2.17, 1 N 2.22
40 N 0.1386 0.5665 0.8895  1 Nb 2.11, 1 Er 2.17, 1 N 2.22
41 N 0.1770 0.2491 0.6105  1 Nb 2.11, 1 Er 2.17, 1 N 2.22
42 N 0.1770 0.4279 0.5665  1 Nb 2.11, 1 Er 2.17, 1 N 2.22
43 N 0.2491 0.1386 0.0721  1 Nb 2.11, 1 Er 2.17, 1 N 2.22
44 N 0.2491 0.6105 0.1770  1 Nb 2.11, 1 Er 2.17, 1 N 2.22
45 N 0.2509 0.3230 0.8895  1 Nb 2.11, 1 Er 2.17, 1 N 2.22
46 N 0.2509 0.4279 0.3614  1 Nb 2.11, 1 Er 2.17, 1 N 2.22
47 N 0.3230 0.8895 0.2509  1 Nb 2.11, 1 Er 2.17, 1 N 2.22
48 N 0.3230 0.9335 0.0721  1 Nb 2.11, 1 Er 2.17, 1 N 2.22
49 N 0.3614 0.2509 0.4279  1 Nb 2.11, 1 Er 2.17, 1 N 2.22
50 N 0.3614 0.6105 0.9335  1 Nb 2.11, 1 Er 2.17, 1 N 2.22
51 N 0.3895 0.0665 0.6386  1 Nb 2.11, 1 Er 2.17, 1 N 2.22
52 N 0.3895 0.8230 0.7509  1 Nb 2.11, 1 Er 2.17, 1 N 2.22
53 N 0.4279 0.3614 0.2509  1 Nb 2.11, 1 Er 2.17, 1 N 2.22
54 N 0.4279 0.5665 0.1770  1 Nb 2.11, 1 Er 2.17, 1 N 2.22
55 N 0.4335 0.1105 0.8614  1 Nb 2.11, 1 Er 2.17, 1 N 2.22
56 N 0.4335 0.8230 0.5721  1 Nb 2.11, 1 Er 2.17, 1 N 2.22
57 N 0.5665 0.1770 0.4279  1 Nb 2.11, 1 Er 2.17, 1 N 2.22
58 N 0.5665 0.8895 0.1386  1 Nb 2.11, 1 Er 2.17, 1 N 2.22
59 N 0.5721 0.4335 0.8230  1 Nb 2.11, 1 Er 2.17, 1 N 2.22
60 N 0.5721 0.6386 0.7491  1 Nb 2.11, 1 Er 2.17, 1 N 2.22
61 N 0.6105 0.1770 0.2491  1 Nb 2.11, 1 Er 2.17, 1 N 2.22
62 N 0.6105 0.9335 0.3614  1 Nb 2.11, 1 Er 2.17, 1 N 2.22
63 N 0.6386 0.3895 0.0665  1 Nb 2.11, 1 Er 2.17, 1 N 2.22
64 N 0.6386 0.7491 0.5721  1 Nb 2.11, 1 Er 2.17, 1 N 2.22
65 N 0.6770 0.0665 0.9279  1 Nb 2.11, 1 Er 2.17, 1 N 2.22
66 N 0.6770 0.1105 0.7491  1 Nb 2.11, 1 Er 2.17, 1 N 2.22
67 N 0.7491 0.5721 0.6386  1 Nb 2.11, 1 Er 2.17, 1 N 2.22
68 N 0.7491 0.6770 0.1105  1 Nb 2.11, 1 Er 2.17, 1 N 2.22
69 N 0.7509 0.3895 0.8230  1 Nb 2.11, 1 Er 2.17, 1 N 2.22
70 N 0.7509 0.8614 0.9279  1 Nb 2.11, 1 Er 2.17, 1 N 2.22
71 N 0.8230 0.5721 0.4335  1 Nb 2.11, 1 Er 2.17, 1 N 2.22
72 N 0.8230 0.7509 0.3895  1 Nb 2.11, 1 Er 2.17, 1 N 2.22
73 N 0.8614 0.4335 0.1105  1 Nb 2.11, 1 Er 2.17, 1 N 2.22
74 N 0.8614 0.9279 0.7509  1 Nb 2.11, 1 Er 2.17, 1 N 2.22
75 N 0.8895 0.1386 0.5665  1 Nb 2.11, 1 Er 2.17, 1 N 2.22
76 N 0.8895 0.2509 0.3230  1 Nb 2.11, 1 Er 2.17, 1 N 2.22
77 N 0.9279 0.6770 0.0665  1 Nb 2.11, 1 Er 2.17, 1 N 2.22
78 N 0.9279 0.7509 0.8614  1 Nb 2.11, 1 Er 2.17, 1 N 2.22
79 N 0.9335 0.0721 0.3230  1 Nb 2.11, 1 Er 2.17, 1 N 2.22
80 N 0.9335 0.3614 0.6105  1 Nb 2.11, 1 Er 2.17, 1 N 2.22

Output
E, eV/f.u.: -160.9
Theoretical density, g/cm³: 7.84
V, Å³/atom: 13.585
Fermi-level density of states, states/eV per cell: 51.859
Raw formation energy, eV per atom: -0.3990